A relaxed structure of GaSbAsBr2. Source: Alexandria via LeMat-Bulk, functional PBE.

a = 5.7099 Å, b = 5.7099 Å, c = 5.4008 Å
α = 90.00°, β = 90.00°, γ = 90.00°
With the nearest neighbours (Å) after each atom.
Space group P4/mmm (No. 123)
Symmetry-distinct sites (fractional):
Ga 0.0000 0.0000 0.0000 [1 per cell]  8 Br 3.93, 4 As 4.04
Sb 0.5000 0.5000 0.5000 [1 per cell]  2 As 2.70, 4 Br 2.85
As 0.5000 0.5000 0.0000 [1 per cell]  2 Sb 2.70
Br 0.0000 0.5000 0.5000 [2 per cell]  2 Sb 2.85

Relative energy among the computed polymorphs = 0.000 eV/f.u.
Energy relative to the elements, uncorrected = 0.128 eV per atom

A relaxed structure of GaSbAsBr2. Source: Alexandria via LeMat-Bulk, functional PBE.

a = 5.0288 Å, b = 5.0288 Å, c = 5.3081 Å
α = 90.00°, β = 90.00°, γ = 90.00°
With the nearest neighbours (Å) after each atom.
Space group P4/mmm (No. 123)
Symmetry-distinct sites (fractional):
Ga 0.0000 0.0000 0.0000 [1 per cell]  4 Br 2.51, 2 As 2.65
Sb 0.5000 0.5000 0.5000 [1 per cell]  4 As 3.56, 8 Br 3.66
As 0.0000 0.0000 0.5000 [1 per cell]  2 Ga 2.65
Br 0.0000 0.5000 0.0000 [2 per cell]  2 Ga 2.51

Relative energy among the computed polymorphs = 0.435 eV/f.u.
Energy relative to the elements, uncorrected = 0.215 eV per atom

A relaxed structure of GaSbAs2Br. Source: Alexandria via LeMat-Bulk, functional PBE.

a = 5.3313 Å, b = 5.3313 Å, c = 5.8184 Å
α = 90.00°, β = 90.00°, γ = 90.00°
With the nearest neighbours (Å) after each atom.
Space group P4/mmm (No. 123)
Symmetry-distinct sites (fractional):
Ga 0.0000 0.0000 0.0000 [1 per cell]  4 Br 3.77, 8 As 3.95
Sb 0.5000 0.5000 0.5000 [1 per cell]  4 As 2.67, 2 Br 2.91
As 0.0000 0.5000 0.5000 [2 per cell]  2 Sb 2.67
Br 0.5000 0.5000 0.0000 [1 per cell]  2 Sb 2.91

Relative energy among the computed polymorphs = 0.361 eV/f.u.
Energy relative to the elements, uncorrected = 0.524 eV per atom

A relaxed structure of GaSbAs2Br. Source: Alexandria via LeMat-Bulk, functional PBE.

a = 5.0461 Å, b = 5.0461 Å, c = 4.9494 Å
α = 90.00°, β = 90.00°, γ = 90.00°
With the nearest neighbours (Å) after each atom.
Space group P4/mmm (No. 123)
Symmetry-distinct sites (fractional):
Ga 0.0000 0.0000 0.0000 [1 per cell]  2 Br 2.47, 4 As 2.52
Sb 0.5000 0.5000 0.5000 [1 per cell]  8 As 3.53, 4 Br 3.57
As 0.0000 0.5000 0.0000 [2 per cell]  2 Ga 2.52
Br 0.0000 0.0000 0.5000 [1 per cell]  2 Ga 2.47

Relative energy among the computed polymorphs = 0.000 eV/f.u.
Energy relative to the elements, uncorrected = 0.452 eV per atom

A relaxed structure of Sc2GaAsBr. Source: Alexandria via LeMat-Bulk, functional PBE.

a = 4.9608 Å, b = 4.9608 Å, c = 5.2456 Å
α = 90.00°, β = 90.00°, γ = 90.00°
With the nearest neighbours (Å) after each atom.
Space group P4/mmm (No. 123)
Symmetry-distinct sites (fractional):
Sc 0.0000 0.5000 0.0000 [2 per cell]  2 Br 2.48
Ga 0.0000 0.0000 0.5000 [1 per cell]  4 As 3.51, 8 Sc 3.61
As 0.5000 0.5000 0.5000 [1 per cell]  2 Br 2.62
Br 0.5000 0.5000 0.0000 [1 per cell]  4 Sc 2.48, 2 As 2.62

Energy relative to the elements, uncorrected = 0.240 eV per atom

A relaxed structure of GaAsSe2Br. Source: Alexandria via LeMat-Bulk, functional PBE.

a = 5.0603 Å, b = 5.0603 Å, c = 5.4818 Å
α = 90.00°, β = 90.00°, γ = 90.00°
With the nearest neighbours (Å) after each atom.
Space group P4/mmm (No. 123)
Symmetry-distinct sites (fractional):
Ga 0.0000 0.0000 0.0000 [1 per cell]  4 Br 3.58, 8 Se 3.73
As 0.5000 0.5000 0.5000 [1 per cell]  4 Se 2.53, 2 Br 2.74
Se 0.0000 0.5000 0.5000 [2 per cell]  2 As 2.53
Br 0.5000 0.5000 0.0000 [1 per cell]  2 As 2.74

Relative energy among the computed polymorphs = 0.000 eV/f.u.
Energy relative to the elements, uncorrected = 0.113 eV per atom